No. 1
Material: Li2PrMg2Hg2
Method: DFT, PBE
State: relaxed

## Properties
Magnetic moment   0.00 μB/f.u.
SG   C2/m, No. 12

Lattice parameters (Å, degrees): 4.966 4.972 7.954 107.82 90.00 119.96
Element x y z (fractional)
Pr: 0.000 0.000 0.000
Hg: 0.268 0.536 0.799
Li: 0.853 0.706 0.557
Mg: 0.423 0.846 0.274
Mg: 0.577 0.154 0.726
Li: 0.147 0.294 0.443
Hg: 0.732 0.464 0.201


No. 2
Material: Ta2Ni17
Method: DFT, PBE
State: relaxed

## Properties
Magnetic moment   4.07 μB/f.u.
SG   R-3m, No. 166

Lattice parameters (Å, degrees): 6.127 6.127 6.127 81.87 81.87 81.87
Each line ends with the local moment (μB).
Element x y z (fractional)
Ni: 0.898 0.898 0.898  0.12
Ni: 0.000 0.500 0.000  0.33
Ni: 0.000 0.000 0.500  0.33
Ni: 0.311 0.000 0.689  0.22
Ni: 0.350 0.350 0.839  0.33
Ni: 0.000 0.689 0.311  0.22
Ni: 0.311 0.689 0.000  0.22
Ni: 0.839 0.350 0.350  0.33
Ni: 0.689 0.000 0.311  0.22
Ta: 0.321 0.321 0.321  -0.09
Ni: 0.689 0.311 0.000  0.22
Ni: 0.350 0.839 0.350  0.33
Ta: 0.679 0.679 0.679  -0.09
Ni: 0.000 0.311 0.689  0.22
Ni: 0.102 0.102 0.102  0.12
Ni: 0.500 0.000 0.000  0.33
Ni: 0.161 0.650 0.650  0.33
Ni: 0.650 0.161 0.650  0.33
Ni: 0.650 0.650 0.161  0.33


No. 3
Material: BaCu2GeMo
Method: DFT, PBE
State: relaxed

## Properties
Magnetic moment   0.10 μB/f.u.
SG   P4/mmm, No. 123

Lattice parameters (Å, degrees): 5.095 5.573 5.095 90.00 90.00 90.00
Each line ends with the local moment (μB).
Element x y z (fractional)
Ba: 0.000 0.000 0.000  0.04
Cu: 0.000 0.000 0.500  0.01
Cu: 0.500 0.000 0.000  0.01
Mo: 0.500 0.500 0.500  -0.31
Ge: 0.000 0.500 0.000  0.09


No. 4
Material: Ta2ZnSe
Method: DFT, PBE
State: relaxed

## Properties
Magnetic moment   0.00 μB/f.u.
Relative energy among the computed polymorphs   539 meV per atom
Uncorrected formation energy   0.51 eV/atom
SG   F-43m, No. 216

Lattice parameters (Å, degrees): 4.643 4.643 4.643 60.00 60.00 60.00
Element x y z (fractional)
Ta: 0.000 0.000 0.000
Ta: 0.250 0.250 0.250
Se: 0.500 0.500 0.500
Zn: 0.750 0.750 0.750


No. 5
Material: In3IrCl
Method: DFT, PBE
State: relaxed

## Properties
Magnetic moment   0.00 μB/f.u.
Relative energy among the computed polymorphs   298 meV per atom
Uncorrected formation energy   -0.14 eV/atom
SG   R-3, No. 148

Lattice parameters (Å, degrees): 7.348 7.348 7.348 57.64 57.64 57.64
Element x y z (fractional)
In: 0.503 0.906 0.327
Ir: 0.670 0.670 0.670
In: 0.906 0.327 0.503
In: 0.327 0.503 0.906
Ir: 0.330 0.330 0.330
In: 0.673 0.497 0.094
In: 0.497 0.094 0.673
Cl: 0.098 0.098 0.098
In: 0.094 0.673 0.497
Cl: 0.902 0.902 0.902


No. 6
Material: Mn2GaCl8
Method: DFT, PBE
State: relaxed

## Properties
Magnetic moment   9.00 μB/f.u.
Uncorrected formation energy   -0.93 eV/atom
SG   C2/m, No. 12

Lattice parameters (Å, degrees): 7.295 8.359 6.198 91.41 90.00 115.87
Each line ends with the local moment (μB).
Element x y z (fractional)
Cl: 0.860 0.721 0.200  0.03
Mn: 0.147 0.294 0.429  3.97
Cl: 0.709 0.419 0.617  0.05
Mn: 0.853 0.706 0.571  3.97
Cl: 0.291 0.581 0.383  0.05
Cl: 0.140 0.279 0.800  0.03
Cl: 0.161 0.870 0.768  0.03
Cl: 0.709 0.870 0.768  0.03
Cl: 0.291 0.130 0.232  0.03
Cl: 0.839 0.130 0.232  0.03
Ga: 0.000 0.000 0.000  0.03


Here are the calculated raw total energy numbers, same order: -14.6 -122.3 -14.0 -26.4 -39.2 -46.3 (eV per cell).
Here are the calculated N(E_F) numbers, same order: 0.493 1.288 1.163 1.322 0.328 0.990 (states/eV/atom).